A crystal of TcMoRu2 relaxed with PBEsol, computed with meta-GGA SCAN.

abc: 2.712 4.668 4.691
angles: 99.34 90.00 106.89
Positions (direct):
Mo1 0.252 0.505 0.759
Tc1 0.495 0.989 0.481
Ru1 0.749 0.498 0.258
Ru2 0.004 0.008 0.002

**Mass density**: 11.74 g/cm3
**Symmetry**: Cm, No. 8
**ΔH_f (0 K)**: 80 meV per atom


A crystal of TcMoRu2 relaxed with PBEsol, computed with meta-GGA SCAN.

abc: 3.826 3.826 4.674
angles: 114.16 114.16 90.00
Positions (direct):
Ru1 0.250 0.750 0.500
Ru2 0.750 0.250 0.500
Tc1 0.000 0.000 0.000
Mo1 0.500 0.500 0.000

**Mass density**: 11.78 g/cm3
**Symmetry**: I4/mmm, No. 139
**ΔH_f (0 K)**: 41 meV per atom


Number 1: relative energy among the computed polymorphs 39 meV per atom, total DFT energy (no corrections) -139.3 eV/cell, V 14.00 Å³/atom. Number 2: relative energy among the computed polymorphs 0 meV per atom, total DFT energy (no corrections) -139.4 eV/cell, V 13.95 Å³/atom.